Computed, not measured: an optimized crystal structure of ZnCu2 at the PBE level of DFT.

a = 4.507 Å, b = 4.507 Å, c = 4.297 Å
α = 90.00°, β = 90.00°, γ = 59.96°
Positions (direct):
1 Zn 0.176 0.824 0.750
2 Zn 0.824 0.176 0.250
3 Cu 0.163 0.500 0.250
4 Cu 0.500 0.163 0.750
5 Cu 0.500 0.837 0.250
6 Cu 0.837 0.500 0.750

Summary:
calculated total energy = -3.2271 eV per atom
ΔE_f = -0.072 eV per atom
space-group type = No. 63
total moment = 0.00 μB per cell